Entry 1:
# SrZn9Co2 PBE optimized geometry
data_SrZn9Co2
_chemical_formula_sum 'Sr4 Zn36 Co8'
_cell_length_a 10.4817
_cell_length_b 10.4817
_cell_length_c 6.8986
_cell_angle_alpha 90.00
_cell_angle_beta 90.00
_cell_angle_gamma 90.00
_space_group_name_H-M_alt 'I 41/a m d'
_space_group_IT_number 141
loop_
_space_group_symop_operation_xyz
'x,y,z'
'-x,-y,-z'
'-y+1/4,x+3/4,z+1/4'
'y+1/4,-x+3/4,-z+1/4'
'-x+1/2,-y,z+1/2'
'x+1/2,y,-z+1/2'
'y+1/4,-x+1/4,z+3/4'
'-y+1/4,x+1/4,-z+3/4'
'x,-y,-z'
'-x,y,z'
'-y+1/4,-x+1/4,-z+3/4'
'y+1/4,x+1/4,z+3/4'
'-x+1/2,y,-z+1/2'
'x+1/2,-y,z+1/2'
'y+1/4,x+3/4,-z+1/4'
'-y+1/4,-x+3/4,z+1/4'
'x+1/2,y+1/2,z+1/2'
'-x+1/2,-y+1/2,-z+1/2'
'-y+3/4,x+1/4,z+3/4'
'y+3/4,-x+1/4,-z+3/4'
'-x,-y+1/2,z'
'x,y+1/2,-z'
'y+3/4,-x+3/4,z+1/4'
'-y+3/4,x+3/4,-z+1/4'
'x+1/2,-y+1/2,-z+1/2'
'-x+1/2,y+1/2,z+1/2'
'-y+3/4,-x+3/4,-z+1/4'
'y+3/4,x+3/4,z+1/4'
'-x,y+1/2,-z'
'x,-y+1/2,z'
'y+3/4,x+1/4,-z+3/4'
'-y+3/4,-x+1/4,z+3/4'
loop_
_atom_site_label
_atom_site_fract_x
_atom_site_fract_y
_atom_site_fract_z
_atom_site_occupancy
Sr1 0.0000 0.2500 0.3750 1
Zn1 0.0000 0.2500 0.8750 1
Zn2 0.1226 0.0451 0.6946 1
Co1 0.0000 0.0000 0.0000 1
# * M_tot: 0.02 μB/cell
# * formation energy: -0.132 eV per atom
# * calculated total energy: -2.412 eV per atom

***

Entry 2:
# SrZnCo2 PBE optimized geometry
data_SrZnCo2
_chemical_formula_sum 'Sr4 Zn4 Co8'
_cell_length_a 6.6164
_cell_length_b 6.6164
_cell_length_c 6.6164
_cell_angle_alpha 90.00
_cell_angle_beta 90.00
_cell_angle_gamma 90.00
_space_group_name_H-M_alt 'F -4 3 m'
_space_group_IT_number 216
_space_group_name_Hall 'F -4 2 3'
loop_
_atom_site_label
_atom_site_fract_x
_atom_site_fract_y
_atom_site_fract_z
_atom_site_occupancy
Sr1 0.0000 0.0000 0.0000 1
Zn1 0.2500 0.2500 0.2500 1
Co1 0.0000 0.0000 0.5000 1
Co2 0.2500 0.2500 0.7500 1
# * M_tot: 12.42 μB/cell
# * formation energy: 0.586 eV per atom
# * calculated total energy: -3.706 eV per atom

***

Entry 3:
# SrZnCo2 PBE optimized geometry
data_SrZnCo2
_chemical_formula_sum 'Sr2 Zn2 Co4'
_cell_length_a 3.1650
_cell_length_b 4.9841
_cell_length_c 9.3686
_cell_angle_alpha 90.00
_cell_angle_beta 90.00
_cell_angle_gamma 90.00
_space_group_name_H-M_alt 'I m m 2'
_space_group_IT_number 44
loop_
_space_group_symop_operation_xyz
'x,y,z'
'-x,-y,z'
'-x,y,z'
'x,-y,z'
'x+1/2,y+1/2,z+1/2'
'-x+1/2,-y+1/2,z+1/2'
'-x+1/2,y+1/2,z+1/2'
'x+1/2,-y+1/2,z+1/2'
loop_
_atom_site_label
_atom_site_fract_x
_atom_site_fract_y
_atom_site_fract_z
_atom_site_occupancy
Sr1 0.0000 0.0000 0.0000 1
Zn1 0.0000 0.5000 0.7988 1
Co1 0.0000 0.0000 0.5218 1
Co2 0.0000 0.5000 0.2007 1
# * M_tot: 5.81 μB/cell
# * formation energy: 0.438 eV per atom
# * calculated total energy: -3.854 eV per atom

***

Entry 4:
# Sr2ZnCo PBE optimized geometry
data_Sr2ZnCo
_chemical_formula_sum 'Sr4 Zn2 Co2'
_cell_length_a 4.3577
_cell_length_b 4.5617
_cell_length_c 11.5549
_cell_angle_alpha 90.00
_cell_angle_beta 90.00
_cell_angle_gamma 90.00
_space_group_name_H-M_alt 'A m m 2'
_space_group_IT_number 38
loop_
_space_group_symop_operation_xyz
'x,y,z'
'-x,-y,z'
'-x,y,z'
'x,-y,z'
'x,y+1/2,z+1/2'
'-x,-y+1/2,z+1/2'
'-x,y+1/2,z+1/2'
'x,-y+1/2,z+1/2'
loop_
_atom_site_label
_atom_site_fract_x
_atom_site_fract_y
_atom_site_fract_z
_atom_site_occupancy
Sr1 0.0000 0.0000 0.0000 1
Sr2 0.5000 0.0000 0.2808 1
Zn1 0.0000 0.0000 0.6920 1
Co1 0.5000 0.0000 0.5984 1
# * M_tot: 1.00 μB/cell
# * formation energy: 0.077 eV per atom
# * calculated total energy: -2.859 eV per atom

***

Entry 5:
# Sr2ZnCo PBE optimized geometry
data_Sr2ZnCo
_chemical_formula_sum 'Sr4 Zn2 Co2'
_cell_length_a 7.5365
_cell_length_b 3.9687
_cell_length_c 8.6134
_cell_angle_alpha 90.00
_cell_angle_beta 103.84
_cell_angle_gamma 90.00
_space_group_name_H-M_alt 'C 1 2/m 1'
_space_group_IT_number 12
loop_
_space_group_symop_operation_xyz
'x,y,z'
'-x,-y,-z'
'-x,y,-z'
'x,-y,z'
'x+1/2,y+1/2,z'
'-x+1/2,-y+1/2,-z'
'-x+1/2,y+1/2,-z'
'x+1/2,-y+1/2,z'
loop_
_atom_site_label
_atom_site_fract_x
_atom_site_fract_y
_atom_site_fract_z
_atom_site_occupancy
Sr1 0.2400 0.0000 0.2191 1
Zn1 0.0000 0.0000 0.5000 1
Co1 0.0000 0.5000 0.0000 1
# * M_tot: 1.66 μB/cell
# * formation energy: 0.408 eV per atom
# * calculated total energy: -2.528 eV per atom

***

Entry 6:
# SrZnCo2 PBE optimized geometry
data_SrZnCo2
_chemical_formula_sum 'Sr1 Zn1 Co2'
_cell_length_a 4.1983
_cell_length_b 4.1983
_cell_length_c 3.8888
_cell_angle_alpha 90.00
_cell_angle_beta 90.00
_cell_angle_gamma 90.00
_space_group_name_H-M_alt 'P 4/m m m'
_space_group_IT_number 123
_space_group_name_Hall '-P 4 2'
loop_
_atom_site_label
_atom_site_fract_x
_atom_site_fract_y
_atom_site_fract_z
_atom_site_occupancy
Sr1 0.0000 0.0000 0.0000 1
Zn1 0.5000 0.5000 0.0000 1
Co1 0.0000 0.5000 0.5000 1
# * M_tot: 1.65 μB/cell
# * formation energy: 0.648 eV per atom
# * calculated total energy: -3.644 eV per atom

***

Entry 7:
# SrZnCo PBE optimized geometry
data_SrZnCo
_chemical_formula_sum 'Sr2 Zn2 Co2'
_cell_length_a 3.4208
_cell_length_b 3.4208
_cell_length_c 10.6541
_cell_angle_alpha 90.00
_cell_angle_beta 90.00
_cell_angle_gamma 90.00
_space_group_name_H-M_alt 'I 4 m m'
_space_group_IT_number 107
_space_group_name_Hall 'I 4 -2'
loop_
_atom_site_label
_atom_site_fract_x
_atom_site_fract_y
_atom_site_fract_z
_atom_site_occupancy
Sr1 0.0000 0.0000 0.0000 1
Zn1 0.0000 0.0000 0.7212 1
Co1 0.0000 0.0000 0.2877 1
# * M_tot: 1.88 μB/cell
# * formation energy: 0.212 eV per atom
# * calculated total energy: -3.142 eV per atom

***

Entry 8:
# SrZnCo2 PBE optimized geometry
data_SrZnCo2
_chemical_formula_sum 'Sr1 Zn1 Co2'
_cell_length_a 3.3267
_cell_length_b 3.3267
_cell_length_c 6.5843
_cell_angle_alpha 90.00
_cell_angle_beta 90.00
_cell_angle_gamma 90.00
_space_group_name_H-M_alt 'P 4/m m m'
_space_group_IT_number 123
_space_group_name_Hall '-P 4 2'
loop_
_atom_site_label
_atom_site_fract_x
_atom_site_fract_y
_atom_site_fract_z
_atom_site_occupancy
Sr1 0.0000 0.0000 0.0000 1
Zn1 0.0000 0.0000 0.5000 1
Co1 0.5000 0.5000 0.3337 1
# * M_tot: 2.80 μB/cell
# * formation energy: 0.369 eV per atom
# * calculated total energy: -3.923 eV per atom

***

Entry 9:
# SrZnCo PBE optimized geometry
data_SrZnCo
_chemical_formula_sum 'Sr4 Zn4 Co4'
_cell_length_a 7.0959
_cell_length_b 7.0959
_cell_length_c 7.0959
_cell_angle_alpha 90.00
_cell_angle_beta 90.00
_cell_angle_gamma 90.00
_space_group_name_H-M_alt 'F -4 3 m'
_space_group_IT_number 216
_space_group_name_Hall 'F -4 2 3'
loop_
_atom_site_label
_atom_site_fract_x
_atom_site_fract_y
_atom_site_fract_z
_atom_site_occupancy
Sr1 0.0000 0.0000 0.0000 1
Zn1 0.2500 0.2500 0.2500 1
Co1 0.2500 0.2500 0.7500 1
# * M_tot: 6.04 μB/cell
# * formation energy: 0.968 eV per atom
# * calculated total energy: -2.386 eV per atom

***

Entry 10:
# SrZnCo2 PBE optimized geometry
data_SrZnCo2
_chemical_formula_sum 'Sr1 Zn1 Co2'
_cell_length_a 4.0419
_cell_length_b 4.2692
_cell_length_c 5.0230
_cell_angle_alpha 90.00
_cell_angle_beta 97.40
_cell_angle_gamma 90.00
_space_group_name_H-M_alt 'P 1 2/m 1'
_space_group_IT_number 10
loop_
_space_group_symop_operation_xyz
'x,y,z'
'-x,-y,-z'
'-x,y,-z'
'x,-y,z'
loop_
_atom_site_label
_atom_site_fract_x
_atom_site_fract_y
_atom_site_fract_z
_atom_site_occupancy
Sr1 0.0000 0.0000 0.0000 1
Zn1 0.5000 0.0000 0.5000 1
Co1 0.2620 0.5000 0.5930 1
# * M_tot: 2.10 μB/cell
# * formation energy: 0.378 eV per atom
# * calculated total energy: -3.914 eV per atom

***

Entry 11:
# Sr2ZnCo PBE optimized geometry
data_Sr2ZnCo
_chemical_formula_sum 'Sr4 Zn2 Co2'
_cell_length_a 4.5631
_cell_length_b 4.5631
_cell_length_c 10.3913
_cell_angle_alpha 90.00
_cell_angle_beta 90.00
_cell_angle_gamma 90.00
_space_group_name_H-M_alt 'I -4 m 2'
_space_group_IT_number 119
_space_group_name_Hall 'I -4 -2'
loop_
_atom_site_label
_atom_site_fract_x
_atom_site_fract_y
_atom_site_fract_z
_atom_site_occupancy
Sr1 0.0000 0.0000 0.0000 1
Sr2 0.0000 0.5000 0.2500 1
Zn1 0.0000 0.5000 0.7500 1
Co1 0.0000 0.0000 0.5000 1
# * M_tot: 1.74 μB/cell
# * formation energy: 0.418 eV per atom
# * calculated total energy: -2.518 eV per atom

***

Entry 12:
# SrZnCo2 PBE optimized geometry
data_SrZnCo2
_chemical_formula_sum 'Sr3 Zn3 Co6'
_cell_length_a 4.1105
_cell_length_b 4.1105
_cell_length_c 16.2867
_cell_angle_alpha 90.00
_cell_angle_beta 90.00
_cell_angle_gamma 120.00
_space_group_name_H-M_alt 'R 3 m'
_space_group_IT_number 160
_space_group_name_Hall 'R 3 -2"'
loop_
_atom_site_label
_atom_site_fract_x
_atom_site_fract_y
_atom_site_fract_z
_atom_site_occupancy
Sr1 0.0000 0.0000 0.0000 1
Zn1 0.0000 0.0000 0.8109 1
Co1 0.0000 0.0000 0.1909 1
Co2 0.0000 0.0000 0.5156 1
# * M_tot: 6.48 μB/cell
# * formation energy: 0.006 eV per atom
# * calculated total energy: -4.286 eV per atom

***

Entry 13:
# SrZnCo2 PBE optimized geometry
data_SrZnCo2
_chemical_formula_sum 'Sr2 Zn2 Co4'
_cell_length_a 5.8584
_cell_length_b 8.7354
_cell_length_c 2.8485
_cell_angle_alpha 90.00
_cell_angle_beta 112.42
_cell_angle_gamma 90.00
_space_group_name_H-M_alt 'C 1 2/m 1'
_space_group_IT_number 12
loop_
_space_group_symop_operation_xyz
'x,y,z'
'-x,-y,-z'
'-x,y,-z'
'x,-y,z'
'x+1/2,y+1/2,z'
'-x+1/2,-y+1/2,-z'
'-x+1/2,y+1/2,-z'
'x+1/2,-y+1/2,z'
loop_
_atom_site_label
_atom_site_fract_x
_atom_site_fract_y
_atom_site_fract_z
_atom_site_occupancy
Sr1 0.0000 0.0000 0.0000 1
Zn1 0.0000 0.5000 0.0000 1
Co1 0.2500 0.2500 0.5000 1
# * M_tot: 4.22 μB/cell
# * formation energy: 0.709 eV per atom
# * calculated total energy: -3.583 eV per atom

***

Entry 14:
# SrZnCo2 PBE optimized geometry
data_SrZnCo2
_chemical_formula_sum 'Sr4 Zn4 Co8'
_cell_length_a 4.4678
_cell_length_b 4.4678
_cell_length_c 16.9162
_cell_angle_alpha 90.00
_cell_angle_beta 90.00
_cell_angle_gamma 90.00
_space_group_name_H-M_alt 'I 41/a m d'
_space_group_IT_number 141
loop_
_space_group_symop_operation_xyz
'x,y,z'
'-x,-y,-z'
'-y+1/4,x+3/4,z+1/4'
'y+1/4,-x+3/4,-z+1/4'
'-x+1/2,-y,z+1/2'
'x+1/2,y,-z+1/2'
'y+1/4,-x+1/4,z+3/4'
'-y+1/4,x+1/4,-z+3/4'
'x,-y,-z'
'-x,y,z'
'-y+1/4,-x+1/4,-z+3/4'
'y+1/4,x+1/4,z+3/4'
'-x+1/2,y,-z+1/2'
'x+1/2,-y,z+1/2'
'y+1/4,x+3/4,-z+1/4'
'-y+1/4,-x+3/4,z+1/4'
'x+1/2,y+1/2,z+1/2'
'-x+1/2,-y+1/2,-z+1/2'
'-y+3/4,x+1/4,z+3/4'
'y+3/4,-x+1/4,-z+3/4'
'-x,-y+1/2,z'
'x,y+1/2,-z'
'y+3/4,-x+3/4,z+1/4'
'-y+3/4,x+3/4,-z+1/4'
'x+1/2,-y+1/2,-z+1/2'
'-x+1/2,y+1/2,z+1/2'
'-y+3/4,-x+3/4,-z+1/4'
'y+3/4,x+3/4,z+1/4'
'-x,y+1/2,-z'
'x,-y+1/2,z'
'y+3/4,x+1/4,-z+3/4'
'-y+3/4,-x+1/4,z+3/4'
loop_
_atom_site_label
_atom_site_fract_x
_atom_site_fract_y
_atom_site_fract_z
_atom_site_occupancy
Sr1 0.0000 0.2500 0.3750 1
Zn1 0.0000 0.2500 0.8750 1
Co1 0.0000 0.0000 0.0000 1
# * M_tot: 0.00 μB/cell
# * formation energy: 0.407 eV per atom
# * calculated total energy: -3.885 eV per atom

***

Entry 15:
# Sr2ZnCo PBE optimized geometry
data_Sr2ZnCo
_chemical_formula_sum 'Sr4 Zn2 Co2'
_cell_length_a 4.2099
_cell_length_b 4.4046
_cell_length_c 13.8275
_cell_angle_alpha 90.00
_cell_angle_beta 90.00
_cell_angle_gamma 90.00
_space_group_name_H-M_alt 'I m m 2'
_space_group_IT_number 44
loop_
_space_group_symop_operation_xyz
'x,y,z'
'-x,-y,z'
'-x,y,z'
'x,-y,z'
'x+1/2,y+1/2,z+1/2'
'-x+1/2,-y+1/2,z+1/2'
'-x+1/2,y+1/2,z+1/2'
'x+1/2,-y+1/2,z+1/2'
loop_
_atom_site_label
_atom_site_fract_x
_atom_site_fract_y
_atom_site_fract_z
_atom_site_occupancy
Sr1 0.0000 0.0000 0.0000 1
Sr2 0.0000 0.5000 0.2541 1
Zn1 0.0000 0.0000 0.4250 1
Co1 0.0000 0.5000 0.8460 1
# * M_tot: 0.95 μB/cell
# * formation energy: 0.158 eV per atom
# * calculated total energy: -2.778 eV per atom

***

Entry 16:
# Sr2ZnCo PBE optimized geometry
data_Sr2ZnCo
_chemical_formula_sum 'Sr2 Zn1 Co1'
_cell_length_a 3.5556
_cell_length_b 3.5556
_cell_length_c 8.6847
_cell_angle_alpha 90.00
_cell_angle_beta 90.00
_cell_angle_gamma 90.00
_space_group_name_H-M_alt 'P 4 m m'
_space_group_IT_number 99
loop_
_space_group_symop_operation_xyz
'x,y,z'
'-y,x,z'
'-x,-y,z'
'y,-x,z'
'-x,y,z'
'y,x,z'
'x,-y,z'
'-y,-x,z'
loop_
_atom_site_label
_atom_site_fract_x
_atom_site_fract_y
_atom_site_fract_z
_atom_site_occupancy
Sr1 0.0000 0.0000 0.0000 1
Sr2 0.5000 0.5000 0.4150 1
Zn1 0.0000 0.0000 0.6624 1
Co1 0.5000 0.5000 0.7499 1
# * M_tot: 1.06 μB/cell
# * formation energy: 0.205 eV per atom
# * calculated total energy: -2.731 eV per atom

***

Entry 17:
# SrZnCo2 PBE optimized geometry
data_SrZnCo2
_chemical_formula_sum 'Sr1 Zn1 Co2'
_cell_length_a 3.1484
_cell_length_b 3.1484
_cell_length_c 7.1756
_cell_angle_alpha 90.00
_cell_angle_beta 90.00
_cell_angle_gamma 90.00
_space_group_name_H-M_alt 'P 4 m m'
_space_group_IT_number 99
loop_
_space_group_symop_operation_xyz
'x,y,z'
'-y,x,z'
'-x,-y,z'
'y,-x,z'
'-x,y,z'
'y,x,z'
'x,-y,z'
'-y,-x,z'
loop_
_atom_site_label
_atom_site_fract_x
_atom_site_fract_y
_atom_site_fract_z
_atom_site_occupancy
Sr1 0.0000 0.0000 0.0000 1
Zn1 0.5000 0.5000 0.3375 1
Co1 0.0000 0.0000 0.5469 1
Co2 0.5000 0.5000 0.6813 1
# * M_tot: 3.12 μB/cell
# * formation energy: 0.274 eV per atom
# * calculated total energy: -4.018 eV per atom

***

Entry 18:
# SrZnCo PBE optimized geometry
data_SrZnCo
_chemical_formula_sum 'Sr1 Zn1 Co1'
_cell_length_a 4.2349
_cell_length_b 4.2349
_cell_length_c 4.3815
_cell_angle_alpha 90.00
_cell_angle_beta 90.00
_cell_angle_gamma 120.00
_space_group_name_H-M_alt 'P -6 m 2'
_space_group_IT_number 187
_space_group_name_Hall 'P -6 2'
loop_
_atom_site_label
_atom_site_fract_x
_atom_site_fract_y
_atom_site_fract_z
_atom_site_occupancy
Sr1 0.0000 0.0000 0.0000 1
Zn1 0.6667 0.3333 0.5000 1
Co1 0.3333 0.6667 0.5000 1
# * M_tot: 0.76 μB/cell
# * formation energy: 0.131 eV per atom
# * calculated total energy: -3.222 eV per atom

***

Entry 19:
# Sr3ZnCo PBE optimized geometry
data_Sr3ZnCo
_chemical_formula_sum 'Sr3 Zn1 Co1'
_cell_length_a 5.6599
_cell_length_b 5.6599
_cell_length_c 5.6599
_cell_angle_alpha 90.00
_cell_angle_beta 90.00
_cell_angle_gamma 90.00
_space_group_name_H-M_alt 'P m -3 m'
_space_group_IT_number 221
_space_group_name_Hall '-P 4 2 3'
loop_
_atom_site_label
_atom_site_fract_x
_atom_site_fract_y
_atom_site_fract_z
_atom_site_occupancy
Sr1 0.0000 0.0000 0.5000 1
Zn1 0.5000 0.5000 0.5000 1
Co1 0.0000 0.0000 0.0000 1
# * M_tot: 0.00 μB/cell
# * formation energy: 0.276 eV per atom
# * calculated total energy: -2.410 eV per atom

***

Entry 20:
# Sr2ZnCo PBE optimized geometry
data_Sr2ZnCo
_chemical_formula_sum 'Sr8 Zn4 Co4'
_cell_length_a 8.2273
_cell_length_b 8.2273
_cell_length_c 6.8835
_cell_angle_alpha 90.00
_cell_angle_beta 90.00
_cell_angle_gamma 90.00
_space_group_name_H-M_alt 'I -4 2 d'
_space_group_IT_number 122
_space_group_name_Hall 'I -4 2bw'
loop_
_atom_site_label
_atom_site_fract_x
_atom_site_fract_y
_atom_site_fract_z
_atom_site_occupancy
Sr1 0.2198 0.7500 0.1250 1
Zn1 0.0000 0.0000 0.5000 1
Co1 0.0000 0.0000 0.0000 1
# * M_tot: 2.66 μB/cell
# * formation energy: 0.518 eV per atom
# * calculated total energy: -2.418 eV per atom